{
  "formula": "GaAgIrO2",
  "functional": "GGA-PBEsol",
  "state": "optimized geometry",
  "lattice_angstrom": [[-2.808, -1.258, 2.171], [2.325, -0.077, 2.962], [-1.333, 5.005, 1.176]],
  "species": ["Ga", "O", "Ag", "Ir", "O"],
  "frac_coords": [[0.500, 0.500, 0.500], [0.000, 0.500, 0.000], [0.000, 0.000, 0.000], [0.000, 0.000, 0.500], [0.500, 0.000, 0.000]],
  "total_magnetization_mub_per_atom": 0.1781,
  "sg": "P4/mmm",
  "crystal_system": "tetragonal",
  "e_form_raw_mev_per_atom": 803
}